Entry from Alexandria: a relaxed structure of Be2NiSO6 (PBE+U).

The structure in POSCAR format:
```
Be2NiSO6
1.0
5.185 -5.303 0.000
5.185 5.303 0.000
-2.460 0.000 4.614
Be Ni S O
4 2 2 12
Direct
0.188 0.283 0.138
0.283 0.188 0.638
0.717 0.812 0.362
0.812 0.717 0.862
0.113 0.887 0.750
0.887 0.113 0.250
0.301 0.699 0.250
0.699 0.301 0.750
0.150 0.704 0.983
0.156 0.196 0.349
0.196 0.156 0.849
0.271 0.509 0.276
0.296 0.850 0.517
0.491 0.729 0.224
0.509 0.271 0.776
0.704 0.150 0.483
0.729 0.491 0.724
0.804 0.844 0.151
0.844 0.804 0.651
0.850 0.296 0.017
```

spin magnetization: 2.0 μB/f.u.
SG: No. 15
calculated total energy: -122.7 eV/cell
volume: 126.9 Å³/f.u.